The following is a DFT calculation (GGA-PBE) of a relaxed TiSb2WI crystal.

The structure belongs to space group P4/mmm (No. 123); the cell edges are 5.1813, 5.1813 and 5.7084 Å and the angles 90.00°, 90.00° and 90.00°. Symmetry generates all atoms from Ti at (0.0000, 0.0000, 0.0000), Sb at (0.0000, 0.5000, 0.5000), W at (0.5000, 0.5000, 0.5000) and I at (0.5000, 0.5000, 0.0000).

The uncorrected formation energy comes out at 1.179 eV/atom. As for the energy above the most stable polymorph in this dataset: 0.000 eV per atom. Its crystal system is tetragonal. For the density, the calculation gives 6.52 g/cm³.